Entry from Alexandria via LeMat-Bulk: a relaxed AcTb4Nd7 crystal (PBE).

abc: 6.1801 9.8362 8.6938
angles: 61.62 69.18 71.69
Last column: nearest neighbours and their distance in Å.
Positions (direct):
Nd  0.2163  0.1077  0.4596  6 Nd 3.45-3.71, 3 Tb 3.67-3.85
Ac  0.0000  0.0000  0.0000  4 Nd 3.09-3.41
Nd  0.5000  0.0000  0.0000  2 Ac 3.09, 2 Tb 3.27
Nd  0.0916  0.5365  0.2804  3 Nd 3.35-3.66, 3 Tb 3.51-3.62
Nd  0.7837  0.8923  0.5404  6 Nd 3.45-3.71, 3 Tb 3.67-3.85
Tb  0.6664  0.6417  0.0255  5 Nd 3.23-3.51, 1 Tb 3.55
Tb  0.5656  0.2984  0.5703  2 Nd 3.22-3.46, 2 Tb 3.46-3.55
Nd  0.7721  0.2621  0.1937  4 Tb 3.22-3.50, 1 Ac 3.41, 2 Nd 3.45-3.53
Tb  0.4344  0.7016  0.4297  2 Nd 3.22-3.46, 2 Tb 3.46-3.55
Nd  0.2279  0.7379  0.8063  4 Tb 3.22-3.50, 1 Ac 3.41, 2 Nd 3.45-3.53
Tb  0.3336  0.3583  0.9745  5 Nd 3.23-3.51, 1 Tb 3.55
Nd  0.9084  0.4635  0.7196  3 Nd 3.35-3.66, 3 Tb 3.51-3.62

Values from the calculation:
- Symmetry: C2/m (12)
- Polymorph energy (0 for the lowest one): 253 kJ/mol of formula units
- Density: 7.3 g cm⁻³
- Density of states at the Fermi level: 19.70 states/eV/f.u.
- DFT formation energy: 2.7 eV per formula unit